Density functional theory data (PBE) for SiC after structural relaxation.

## Properties
The value obtained for the spin magnetization is 0.00 μB per formula unit.

```
data_SiC
_cell_length_a 5.0746
_cell_length_b 5.0746
_cell_length_c 2.6681
_cell_angle_alpha 90.00
_cell_angle_beta 90.00
_cell_angle_gamma 120.00
_symmetry_space_group_name_H-M 'P -6 2 m'
_symmetry_Int_Tables_number 189
_symmetry_space_group_name_Hall 'P -6 -2'
loop_
_atom_site_label
_atom_site_type_symbol
_atom_site_fract_x
_atom_site_fract_y
_atom_site_fract_z
_atom_site_occupancy
Si1 Si 0.0000 0.0000 0.0000 1
Si2 Si 0.3333 0.6667 0.5000 1
C1 C 0.0000 0.3661 0.0000 1
```

Density functional theory data (PBE) for SiC after structural relaxation.

## Properties
The value obtained for the spin magnetization is 0.00 μB per formula unit.

```
data_SiC
_cell_length_a 3.120
_cell_length_b 9.520
_cell_length_c 4.612
_cell_angle_alpha 90.00
_cell_angle_beta 90.00
_cell_angle_gamma 90.00
_symmetry_space_group_name_H-M 'P m m n'
_symmetry_Int_Tables_number 59
loop_
_symmetry_equiv_pos_as_xyz
'x,y,z'
'-x,-y,-z'
'-x+1/2,-y+1/2,z'
'x+1/2,y+1/2,-z'
'x+1/2,-y,-z'
'-x+1/2,y,z'
'-x,y+1/2,-z'
'x,-y+1/2,z'
loop_
_atom_site_label
_atom_site_type_symbol
_atom_site_fract_x
_atom_site_fract_y
_atom_site_fract_z
_atom_site_occupancy
Si1 Si 0.250 0.100 0.092 1
Si2 Si 0.250 0.750 0.404 1
C1 C 0.250 0.250 0.361 1
C2 C 0.250 0.599 0.143 1
```

Density functional theory data (PBE) for SiC2 after structural relaxation.

## Properties
The value obtained for the spin magnetization is 0.00 μB per formula unit.

```
data_SiC2
_cell_length_a 2.484
_cell_length_b 7.615
_cell_length_c 2.853
_cell_angle_alpha 90.00
_cell_angle_beta 90.00
_cell_angle_gamma 90.00
_symmetry_space_group_name_H-M 'C m m m'
_symmetry_Int_Tables_number 65
_symmetry_space_group_name_Hall '-C 2 2'
loop_
_atom_site_label
_atom_site_type_symbol
_atom_site_fract_x
_atom_site_fract_y
_atom_site_fract_z
_atom_site_occupancy
Si1 Si 0.000 0.000 0.000 1
C1 C 0.000 0.201 0.500 1
```

Density functional theory data (PBE) for SiC after structural relaxation.

## Properties
The value obtained for the spin magnetization is 0.00 μB per formula unit.

```
data_SiC
_cell_length_a 5.528
_cell_length_b 5.591
_cell_length_c 6.327
_cell_angle_alpha 90.00
_cell_angle_beta 90.00
_cell_angle_gamma 90.00
_symmetry_space_group_name_H-M 'P 21 21 21'
_symmetry_Int_Tables_number 19
loop_
_symmetry_equiv_pos_as_xyz
'x,y,z'
'-x+1/2,-y,z+1/2'
'x+1/2,-y+1/2,-z'
'-x,y+1/2,-z+1/2'
loop_
_atom_site_label
_atom_site_type_symbol
_atom_site_fract_x
_atom_site_fract_y
_atom_site_fract_z
_atom_site_occupancy
Si1 Si 0.142 0.067 0.233 1
Si2 Si 0.161 0.602 0.972 1
C1 C 0.166 0.414 0.217 1
C2 C 0.191 0.101 0.531 1
```

Density functional theory data (PBE) for SiC2 after structural relaxation.

## Properties
The value obtained for the spin magnetization is 0.00 μB per formula unit.

```
data_SiC2
_cell_length_a 4.787
_cell_length_b 4.787
_cell_length_c 4.787
_cell_angle_alpha 90.00
_cell_angle_beta 90.00
_cell_angle_gamma 90.00
_symmetry_space_group_name_H-M 'F m -3 m'
_symmetry_Int_Tables_number 225
_symmetry_space_group_name_Hall '-F 4 2 3'
loop_
_atom_site_label
_atom_site_type_symbol
_atom_site_fract_x
_atom_site_fract_y
_atom_site_fract_z
_atom_site_occupancy
Si1 Si 0.000 0.000 0.000 1
C1 C 0.250 0.250 0.250 1
```

Density functional theory data (PBE) for SiC after structural relaxation.

## Properties
The value obtained for the spin magnetization is 0.00 μB per formula unit.

```
data_SiC
_cell_length_a 3.0951
_cell_length_b 3.0951
_cell_length_c 35.4293
_cell_angle_alpha 90.00
_cell_angle_beta 90.00
_cell_angle_gamma 120.00
_symmetry_space_group_name_H-M 'P 3 m 1'
_symmetry_Int_Tables_number 156
loop_
_symmetry_equiv_pos_as_xyz
'x,y,z'
'-y,x-y,z'
'-x+y,-x,z'
'-y,-x,z'
'-x+y,y,z'
'x,x-y,z'
loop_
_atom_site_label
_atom_site_type_symbol
_atom_site_fract_x
_atom_site_fract_y
_atom_site_fract_z
_atom_site_occupancy
Si1 Si 0.0000 0.0000 0.0000 1
Si2 Si 0.0000 0.0000 0.1429 1
Si3 Si 0.0000 0.0000 0.3572 1
Si4 Si 0.0000 0.0000 0.5714 1
Si5 Si 0.0000 0.0000 0.7144 1
Si6 Si 0.3333 0.6667 0.0715 1
Si7 Si 0.3333 0.6667 0.2857 1
Si8 Si 0.3333 0.6667 0.4287 1
Si9 Si 0.3333 0.6667 0.6429 1
Si10 Si 0.3333 0.6667 0.8572 1
Si11 Si 0.6667 0.3333 0.2143 1
Si12 Si 0.6667 0.3333 0.5000 1
Si13 Si 0.6667 0.3333 0.7857 1
Si14 Si 0.6667 0.3333 0.9286 1
C1 C 0.0000 0.0000 0.0536 1
C2 C 0.0000 0.0000 0.1965 1
C3 C 0.0000 0.0000 0.4109 1
C4 C 0.0000 0.0000 0.6250 1
C5 C 0.0000 0.0000 0.7679 1
C6 C 0.3333 0.6667 0.1252 1
C7 C 0.3333 0.6667 0.3393 1
C8 C 0.3333 0.6667 0.4822 1
C9 C 0.3333 0.6667 0.6966 1
C10 C 0.3333 0.6667 0.9109 1
C11 C 0.6667 0.3333 0.2679 1
C12 C 0.6667 0.3333 0.5536 1
C13 C 0.6667 0.3333 0.8393 1
C14 C 0.6667 0.3333 0.9822 1
```

Density functional theory data (PBE) for Si2C3 after structural relaxation.

## Properties
The value obtained for the spin magnetization is 0.00 μB per formula unit.

```
data_Si2C3
_cell_length_a 8.919
_cell_length_b 10.251
_cell_length_c 5.528
_cell_angle_alpha 90.00
_cell_angle_beta 90.00
_cell_angle_gamma 90.00
_symmetry_space_group_name_H-M 'F d d 2'
_symmetry_Int_Tables_number 43
_symmetry_space_group_name_Hall 'F 2 -2d'
loop_
_atom_site_label
_atom_site_type_symbol
_atom_site_fract_x
_atom_site_fract_y
_atom_site_fract_z
_atom_site_occupancy
Si1 Si 0.026 0.325 0.000 1
C1 C 0.000 0.000 0.373 1
C2 C 0.091 0.209 0.771 1
```

Density functional theory data (PBE) for SiC2 after structural relaxation.

## Properties
The value obtained for the spin magnetization is 0.00 μB per formula unit.

```
data_SiC2
_cell_length_a 6.7883
_cell_length_b 6.7883
_cell_length_c 2.4898
_cell_angle_alpha 90.00
_cell_angle_beta 90.00
_cell_angle_gamma 120.00
_symmetry_space_group_name_H-M 'P -6 2 m'
_symmetry_Int_Tables_number 189
_symmetry_space_group_name_Hall 'P -6 -2'
loop_
_atom_site_label
_atom_site_type_symbol
_atom_site_fract_x
_atom_site_fract_y
_atom_site_fract_z
_atom_site_occupancy
Si1 Si 0.0000 0.0000 0.0000 1
Si2 Si 0.3333 0.6667 0.5000 1
C1 C 0.0000 0.6157 0.5000 1
C2 C 0.0000 0.7225 0.0000 1
```

Density functional theory data (PBE) for SiC2 after structural relaxation.

## Properties
The value obtained for the spin magnetization is 0.00 μB per formula unit.

```
data_SiC2
_cell_length_a 3.0767
_cell_length_b 3.0767
_cell_length_c 11.3460
_cell_angle_alpha 90.00
_cell_angle_beta 90.00
_cell_angle_gamma 120.00
_symmetry_space_group_name_H-M 'P -3 m 1'
_symmetry_Int_Tables_number 164
_symmetry_space_group_name_Hall '-P 3 2"'
loop_
_atom_site_label
_atom_site_type_symbol
_atom_site_fract_x
_atom_site_fract_y
_atom_site_fract_z
_atom_site_occupancy
Si1 Si 0.0000 0.0000 0.0000 1
Si2 Si 0.3333 0.6667 0.3700 1
C1 C 0.0000 0.0000 0.4290 1
C2 C 0.3333 0.6667 0.0966 1
C3 C 0.3333 0.6667 0.2101 1
```

Density functional theory data (PBE) for SiC2 after structural relaxation.

## Properties
The value obtained for the spin magnetization is 0.00 μB per formula unit.

```
data_SiC2
_cell_length_a 2.527
_cell_length_b 2.527
_cell_length_c 31.695
_cell_angle_alpha 90.00
_cell_angle_beta 90.00
_cell_angle_gamma 90.00
_symmetry_space_group_name_H-M 'I 41/a m d'
_symmetry_Int_Tables_number 141
loop_
_symmetry_equiv_pos_as_xyz
'x,y,z'
'-x,-y,-z'
'-y+1/4,x+3/4,z+1/4'
'y+1/4,-x+3/4,-z+1/4'
'-x+1/2,-y,z+1/2'
'x+1/2,y,-z+1/2'
'y+1/4,-x+1/4,z+3/4'
'-y+1/4,x+1/4,-z+3/4'
'x,-y,-z'
'-x,y,z'
'-y+1/4,-x+1/4,-z+3/4'
'y+1/4,x+1/4,z+3/4'
'-x+1/2,y,-z+1/2'
'x+1/2,-y,z+1/2'
'y+1/4,x+3/4,-z+1/4'
'-y+1/4,-x+3/4,z+1/4'
'x+1/2,y+1/2,z+1/2'
'-x+1/2,-y+1/2,-z+1/2'
'-y+3/4,x+1/4,z+3/4'
'y+3/4,-x+1/4,-z+3/4'
'-x,-y+1/2,z'
'x,y+1/2,-z'
'y+3/4,-x+3/4,z+1/4'
'-y+3/4,x+3/4,-z+1/4'
'x+1/2,-y+1/2,-z+1/2'
'-x+1/2,y+1/2,z+1/2'
'-y+3/4,-x+3/4,-z+1/4'
'y+3/4,x+3/4,z+1/4'
'-x,y+1/2,-z'
'x,-y+1/2,z'
'y+3/4,x+1/4,-z+3/4'
'-y+3/4,-x+1/4,z+3/4'
loop_
_atom_site_label
_atom_site_type_symbol
_atom_site_fract_x
_atom_site_fract_y
_atom_site_fract_z
_atom_site_occupancy
Si1 Si 0.000 0.250 0.311 1
C1 C 0.000 0.250 0.011 1
C2 C 0.000 0.250 0.117 1
```

Density functional theory data (PBE) for Si2C after structural relaxation.

## Properties
The value obtained for the spin magnetization is 0.00 μB per formula unit.

```
data_Si2C
_cell_length_a 2.955
_cell_length_b 16.391
_cell_length_c 2.757
_cell_angle_alpha 90.00
_cell_angle_beta 90.00
_cell_angle_gamma 90.00
_symmetry_space_group_name_H-M 'C m c m'
_symmetry_Int_Tables_number 63
_symmetry_space_group_name_Hall '-C 2c 2'
loop_
_atom_site_label
_atom_site_type_symbol
_atom_site_fract_x
_atom_site_fract_y
_atom_site_fract_z
_atom_site_occupancy
Si1 Si 0.000 0.069 0.250 1
Si2 Si 0.000 0.301 0.750 1
C1 C 0.000 0.386 0.250 1
```

Density functional theory data (PBE) for SiC after structural relaxation.

## Properties
The value obtained for the spin magnetization is 0.00 μB per formula unit.

```
data_SiC
_cell_length_a 3.470
_cell_length_b 3.470
_cell_length_c 4.447
_cell_angle_alpha 90.00
_cell_angle_beta 90.00
_cell_angle_gamma 90.00
_symmetry_space_group_name_H-M 'P 4/n m m'
_symmetry_Int_Tables_number 129
loop_
_symmetry_equiv_pos_as_xyz
'x,y,z'
'-x,-y,-z'
'-y+1/2,x,z'
'y+1/2,-x,-z'
'-x+1/2,-y+1/2,z'
'x+1/2,y+1/2,-z'
'y,-x+1/2,z'
'-y,x+1/2,-z'
'x+1/2,-y,-z'
'-x+1/2,y,z'
'-y,-x,-z'
'y,x,z'
'-x,y+1/2,-z'
'x,-y+1/2,z'
'y+1/2,x+1/2,-z'
'-y+1/2,-x+1/2,z'
loop_
_atom_site_label
_atom_site_type_symbol
_atom_site_fract_x
_atom_site_fract_y
_atom_site_fract_z
_atom_site_occupancy
Si1 Si 0.250 0.750 0.000 1
C1 C 0.250 0.250 0.164 1
```

Number 1: energy above the most stable polymorph in this dataset 105.3 kJ/mol of atoms, uncorrected energy -6.44 eV per atom, formation energy from raw total energies 0.8848 eV per atom. Number 2: energy above the most stable polymorph in this dataset 19.4 kJ/mol of atoms, uncorrected energy -7.33 eV per atom, formation energy from raw total energies -0.0050 eV per atom. Number 3: energy above the most stable polymorph in this dataset 20.1 kJ/mol of atoms, uncorrected energy -7.42 eV per atom, formation energy from raw total energies 0.5397 eV per atom. Number 4: energy above the most stable polymorph in this dataset 35.2 kJ/mol of atoms, uncorrected energy -7.16 eV per atom, formation energy from raw total energies 0.1586 eV per atom. Number 5: energy above the most stable polymorph in this dataset 154.6 kJ/mol of atoms, uncorrected energy -6.02 eV per atom, formation energy from raw total energies 1.9343 eV per atom. Number 6: energy above the most stable polymorph in this dataset 0.0 kJ/mol of atoms, uncorrected energy -7.53 eV per atom, formation energy from raw total energies -0.2063 eV per atom. Number 7: energy above the most stable polymorph in this dataset 12.3 kJ/mol of atoms, uncorrected energy -6.87 eV per atom, formation energy from raw total energies 0.8324 eV per atom. Number 8: energy above the most stable polymorph in this dataset 38.9 kJ/mol of atoms, uncorrected energy -7.22 eV per atom, formation energy from raw total energies 0.7346 eV per atom. Number 9: energy above the most stable polymorph in this dataset 25.3 kJ/mol of atoms, uncorrected energy -7.36 eV per atom, formation energy from raw total energies 0.5940 eV per atom. Number 10: energy above the most stable polymorph in this dataset 98.4 kJ/mol of atoms, uncorrected energy -6.61 eV per atom, formation energy from raw total energies 1.3518 eV per atom. Number 11: energy above the most stable polymorph in this dataset 38.9 kJ/mol of atoms, uncorrected energy -5.94 eV per atom, formation energy from raw total energies 0.7511 eV per atom. Number 12: energy above the most stable polymorph in this dataset 96.0 kJ/mol of atoms, uncorrected energy -6.53 eV per atom, formation energy from raw total energies 0.7888 eV per atom.